A relaxed BaGdPd2 crystal. Source: Alexandria, functional GGA-PBE.

Output
* ρ: 7.32 g/cm³
* SG: R-3m, No. 166
* formation energy from the elements: -0.599 eV/atom
* Fermi-level density of states: 0.65 states/eV per atom

Geometry as POSCAR:
```
BaGdPd2
1.0
-3.983 -0.970 -2.469
-2.213 -4.202 0.584
-5.268 0.556 3.642
Pd Gd Ba
2 1 1
Direct
0.212 0.212 0.365 Pd
0.788 0.788 0.635 Pd
0.500 0.500 0.500 Gd
0.000 0.000 0.000 Ba
```